The following is a PBE calculation of crystalline MnTlHg3 at its relaxed geometry, from the Alexandria database.

Cell: 5.2760 5.2760 5.2760 Å, 90.00 90.00 90.00°
Last column: nearest neighbours and their distance in Å.
Fractional positions:
Hg 0.5000 0.0000 0.0000  2 Mn 2.64
Hg 0.0000 0.0000 0.5000  2 Mn 2.64
Hg 0.0000 0.5000 0.0000  2 Mn 2.64
Tl 0.5000 0.5000 0.5000  12 Hg 3.73
Mn 0.0000 0.0000 0.0000  6 Hg 2.64

Results
ρ   9.7 g/cm³
Raw total energy   -2.183 eV/atom
Symmetry   No. 221
ΔE_f   305 meV per atom

The following is a PBE calculation of crystalline LaTb12Sm2 at its relaxed geometry, from the Alexandria database.

Cell: 6.6003 6.6036 25.6041 Å, 89.14 101.62 64.15°
Last column: nearest neighbours and their distance in Å.
Fractional positions:
Tb 0.1363 0.4328 0.1353  8 Tb 3.26-3.62, 1 La 3.38
Tb 0.4262 0.5364 0.9245  9 Tb 3.47-3.76, 2 La 3.70
Tb 0.0738 0.9636 0.0755  9 Tb 3.47-3.76, 2 La 3.70
Tb 0.4151 0.4174 0.6656  7 Tb 3.26-3.60
Tb 0.4027 0.2992 0.4020  9 Tb 3.26-3.61
Tb 0.5959 0.7004 0.5977  9 Tb 3.26-3.61
Tb 0.4617 0.7708 0.4604  11 Tb 3.42-3.83
Tb 0.0383 0.7292 0.5396  11 Tb 3.42-3.83
Tb 0.0973 0.2008 0.5980  9 Tb 3.26-3.61
Tb 0.9138 0.9172 0.6650  7 Tb 3.26-3.59
Tb 0.0458 0.8523 0.7973  7 Tb 3.26-3.63
Tb 0.8639 0.5679 0.8643  8 Tb 3.26-3.64, 1 La 3.38
Tb 0.4542 0.6477 0.2027  7 Tb 3.26-3.63
Tb 0.9041 0.7996 0.4023  9 Tb 3.26-3.61
Tb 0.5862 0.5828 0.3350  7 Tb 3.26-3.59
Tb 0.5388 0.2296 0.5394  11 Tb 3.42-3.83
Tb 0.5783 0.4594 0.0754  9 Tb 3.47-3.76, 2 La 3.70
Tb 0.0849 0.0826 0.3344  7 Tb 3.26-3.60
Tb 0.9543 0.1487 0.2023  7 Tb 3.26-3.61
Tb 0.9612 0.2704 0.4606  11 Tb 3.42-3.83
Tb 0.9217 0.0406 0.9246  9 Tb 3.47-3.76, 2 La 3.70
Tb 0.5457 0.3513 0.7977  7 Tb 3.26-3.61
Tb 0.3637 0.0672 0.8647  8 Tb 3.26-3.62, 1 La 3.38
Tb 0.6361 0.9321 0.1357  8 Tb 3.26-3.64, 1 La 3.38
La 0.4872 0.9866 0.0002  6 Tb 3.38-3.70, 2 La 3.52
La 0.0128 0.5134 0.9998  6 Tb 3.38-3.70, 2 La 3.52
Sm 0.0204 0.6150 0.2692  2 Sm 3.50-3.51, 12 Tb 3.68-3.76
Sm 0.5201 0.1150 0.2692  2 Sm 3.50-3.51, 12 Tb 3.68-3.77
Sm 0.4796 0.8850 0.7308  2 Sm 3.50-3.51, 12 Tb 3.68-3.76
Sm 0.9799 0.3850 0.7308  2 Sm 3.50-3.51, 12 Tb 3.68-3.77

Results
ρ   8.0 g/cm³
Raw total energy   -4.609 eV/atom
Symmetry   No. 2
ΔE_f   53 meV per atom

The following is a PBE calculation of crystalline ZrSiSbTe2 at its relaxed geometry, from the Alexandria database.

Cell: 5.5262 5.5262 5.6283 Å, 90.00 90.00 90.00°
Last column: nearest neighbours and their distance in Å.
Fractional positions:
Sb 0.0000 0.0000 0.5000  2 Zr 2.81
Si 0.5000 0.5000 0.5000  4 Sb 3.91, 8 Te 3.94
Te 0.0000 0.5000 0.0000  2 Zr 2.76
Te 0.5000 0.0000 0.0000  2 Zr 2.76
Zr 0.0000 0.0000 0.0000  4 Te 2.76, 2 Sb 2.81

Results
ρ   4.8 g/cm³
Raw total energy   -4.391 eV/atom
Formation energy from raw total energies   485 meV per atom
Symmetry   No. 123

The following is a PBE calculation of crystalline La2TcBr at its relaxed geometry, from the Alexandria database.

Cell: 4.1551 4.1551 8.3749 Å, 75.64 75.64 60.00°
Last column: nearest neighbours and their distance in Å.
Fractional positions:
La 0.2670 0.2670 0.1990  3 Tc 2.90
La 0.0658 0.0658 0.8027  3 Tc 2.85
Br 0.4990 0.4990 0.5030  6 La 3.40-3.42
Tc 0.6682 0.6682 0.9954  6 La 2.85-2.90

Results
ρ   6.3 g/cm³
Raw total energy   -5.970 eV/atom
Formation energy from raw total energies   -497 meV per atom
Symmetry   No. 160

The following is a PBE calculation of crystalline HoEr2Tm3Se6 at its relaxed geometry, from the Alexandria database.

Cell: 4.0190 8.0873 9.0132 Å, 103.43 102.88 90.00°
Last column: nearest neighbours and their distance in Å.
Fractional positions:
Ho 0.5000 0.0000 0.0000  6 Se 2.86-2.87
Er 0.8338 0.6676 0.6676  6 Se 2.84-2.86
Er 0.1662 0.3324 0.3324  6 Se 2.84-2.86
Se 0.9996 0.2525 0.9991  3 Tm 2.83, 1 Er 2.84, 2 Ho 2.87
Se 0.6678 0.0823 0.3356  3 Tm 2.83-2.84, 2 Er 2.86, 1 Ho 2.86
Se 0.3322 0.9177 0.6644  3 Tm 2.83-2.84, 2 Er 2.86, 1 Ho 2.86
Se 0.0004 0.7475 0.0009  3 Tm 2.83, 1 Er 2.84, 2 Ho 2.87
Se 0.6665 0.5843 0.3329  3 Tm 2.84-2.85, 3 Er 2.86
Se 0.3335 0.4157 0.6671  3 Tm 2.84-2.85, 3 Er 2.86
Tm 0.8339 0.1668 0.6677  6 Se 2.83-2.85
Tm 0.5000 0.5000 0.0000  6 Se 2.83-2.84
Tm 0.1661 0.8332 0.3323  6 Se 2.83-2.85

Results
ρ   8.9 g/cm³
Raw total energy   -5.682 eV/atom
Formation energy from raw total energies   -1680 meV per atom
Symmetry   No. 12

The following is a PBE calculation of crystalline Sm6Bi3SbTe2 at its relaxed geometry, from the Alexandria database.

Cell: 4.5147 9.0068 10.0850 Å, 102.86 102.93 90.00°
Last column: nearest neighbours and their distance in Å.
Fractional positions:
Sm 0.0007 0.7557 0.0013  2 Sb 3.15, 3 Bi 3.21-3.22, 1 Te 3.21
Sm 0.6638 0.0800 0.3277  1 Sb 3.14, 3 Bi 3.18-3.22, 2 Te 3.21
Sm 0.3349 0.4154 0.6698  3 Bi 3.16-3.17, 3 Te 3.20-3.21
Sm 0.6651 0.5846 0.3302  3 Bi 3.16-3.17, 3 Te 3.20-3.21
Sm 0.3362 0.9200 0.6723  1 Sb 3.14, 3 Bi 3.18-3.22, 2 Te 3.21
Sm 0.9993 0.2443 0.9987  2 Sb 3.15, 3 Bi 3.21-3.22, 1 Te 3.21
Bi 0.5000 0.5000 0.0000  6 Sm 3.16-3.22
Bi 0.8319 0.1667 0.6637  6 Sm 3.17-3.22
Bi 0.1681 0.8333 0.3363  6 Sm 3.17-3.22
Sb 0.5000 0.0000 0.0000  6 Sm 3.14-3.15
Te 0.1671 0.3343 0.3343  6 Sm 3.20-3.21
Te 0.8329 0.6657 0.6657  6 Sm 3.20-3.21

Results
ρ   8.1 g/cm³
Raw total energy   -5.342 eV/atom
Formation energy from raw total energies   -1145 meV per atom
Symmetry   No. 12

The following is a PBE calculation of crystalline TlPbAu at its relaxed geometry, from the Alexandria database.

Cell: 6.6586 5.2605 4.9534 Å, 89.99 90.01 111.43°
Last column: nearest neighbours and their distance in Å.
Fractional positions:
Au 0.5426 0.7117 0.9554  4 Pb 3.06-3.21, 4 Tl 3.10-3.14, 2 Au 3.39
Au 0.5410 0.2719 0.4558  4 Pb 3.03, 3 Tl 3.06-3.28, 2 Au 3.39
Pb 0.2683 0.0687 0.9558  4 Au 3.03-3.20
Pb 0.8190 0.3561 0.9558  4 Au 3.03-3.21
Tl 0.2314 0.5807 0.4558  3 Au 3.06-3.14
Tl 0.8420 0.8978 0.4557  4 Au 3.10-3.28

Results
ρ   12.5 g/cm³
Raw total energy   -3.134 eV/atom
Symmetry   No. 6
ΔE_f   -17 meV per atom

The following is a PBE calculation of crystalline Cd2WBr at its relaxed geometry, from the Alexandria database.

Cell: 3.0828 5.2970 5.2970 Å, 90.00 90.00 90.00°
Last column: nearest neighbours and their distance in Å.
Fractional positions:
Br 0.5000 0.0000 0.5000  8 Cd 3.06, 2 Br 3.08
Cd 0.0000 0.5000 0.5000  4 Br 3.06, 4 W 3.06, 2 Cd 3.08
Cd 0.0000 0.0000 0.0000  4 W 3.06, 4 Br 3.06, 2 Cd 3.08
W 0.5000 0.5000 0.0000  8 Cd 3.06, 2 W 3.08

Results
ρ   9.4 g/cm³
Raw total energy   -3.312 eV/atom
Formation energy from raw total energies   802 meV per atom
Symmetry   No. 123

| no. | DOS(E_F) (states/eV/f.u.) | total magnetic moment (μB/f.u.) |
| --- | --- | --- |
| 1 | 4.8 | 3.38 |
| 2 | 24.1 | 0.00 |
| 3 | 4.1 | 0.00 |
| 4 | 5.6 | 0.32 |
| 5 | 5.5 | 0.00 |
| 6 | 4.3 | 0.00 |
| 7 | 1.6 | 0.00 |
| 8 | 3.8 | 1.79 |